Record 1
{"formula": "Cr2CuSe", "functional": "PBE", "state": "optimized geometry", "e_form_raw_ev_per_atom": 0.386, "energy_ev_per_atom": -6.321, "spacegroup": "No. 216", "dos_ef_per_ev_cell": 2.64, "lattice_angstrom": [[-1.954, 1.229, 3.698], [-1.973, -2.966, 2.513], [1.732, -1.095, 3.848]], "species": ["Cu", "Se", "Cr", "Cr"], "fractional_positions": [[0.500, 0.500, 0.500], [0.750, 0.750, 0.750], [0.250, 0.250, 0.250], [0.000, 0.000, 0.000]]}

Record 2
{"formula": "Cr2CuSe", "functional": "PBE", "state": "optimized geometry", "e_form_raw_ev_per_atom": 0.198, "energy_ev_per_atom": -6.509, "spacegroup": "No. 99", "dos_ef_per_ev_cell": 4.40, "lattice_angstrom": [[-0.176, 3.198, 0.650], [-1.693, 0.469, -2.764], [-4.649, -0.808, 2.711]], "species": ["Cr", "Cr", "Cu", "Se"], "fractional_positions": [[0.000, 0.000, 0.015], [0.500, 0.500, 0.246], [0.000, 0.000, 0.485], [0.500, 0.500, 0.755]]}

Record 3
{"formula": "Cr2CuSe", "functional": "PBE", "state": "optimized geometry", "e_form_raw_ev_per_atom": 0.450, "energy_ev_per_atom": -6.257, "spacegroup": "No. 12", "dos_ef_per_ev_cell": 3.87, "lattice_angstrom": [[-0.034, -4.461, 0.161], [2.683, -3.482, -0.781], [1.554, -0.541, 3.919]], "species": ["Cr", "Cr", "Cu", "Se"], "fractional_positions": [[0.006, 0.006, 0.963], [0.494, 0.494, 0.537], [0.750, 0.750, 0.750], [0.250, 0.250, 0.250]]}

Record 4
{"formula": "Cr2CuSe", "functional": "PBE", "state": "optimized geometry", "e_form_raw_ev_per_atom": 0.400, "energy_ev_per_atom": -6.307, "spacegroup": "No. 35", "dos_ef_per_ev_cell": 3.75, "lattice_angstrom": [[2.693, 0.009, 0.000], [-0.993, 2.503, 0.000], [0.000, 0.000, 8.450]], "species": ["Cr", "Cr", "Cu", "Se"], "fractional_positions": [[0.500, 0.500, 0.227], [0.000, 0.000, 0.028], [0.000, 0.000, 0.465], [0.500, 0.500, 0.779]]}

Record 5
{"formula": "Cr4Cu3Se8", "functional": "PBE", "state": "optimized geometry", "e_form_raw_ev_per_atom": -0.422, "energy_ev_per_atom": -5.666, "spacegroup": "No. 44", "dos_ef_per_ev_cell": 5.61, "lattice_angstrom": [[6.574, 0.190, -3.572], [1.224, 6.902, 2.620], [-1.521, -5.589, 4.739]], "species": ["Se", "Se", "Se", "Se", "Se", "Se", "Se", "Se", "Cu", "Cu", "Cu", "Cr", "Cr", "Cr", "Cr"], "fractional_positions": [[0.007, 0.776, 0.768], [0.489, 0.753, 0.736], [0.472, 0.252, 0.220], [0.007, 0.239, 0.232], [0.488, 0.753, 0.265], [0.017, 0.753, 0.264], [0.032, 0.252, 0.780], [0.488, 0.223, 0.735], [0.653, 0.153, 0.500], [0.887, 0.387, 0.500], [0.619, 0.619, 0.000], [0.245, 0.985, 0.740], [0.232, 0.990, 0.242], [0.748, 0.990, 0.758], [0.245, 0.504, 0.260]]}

Record 6
{"formula": "CrCu2Se", "functional": "PBE", "state": "optimized geometry", "e_form_raw_ev_per_atom": 0.495, "energy_ev_per_atom": -4.830, "spacegroup": "No. 166", "dos_ef_per_ev_cell": 4.72, "lattice_angstrom": [[-4.020, -7.944, 1.355], [-2.610, -7.798, 3.672], [-5.040, -6.601, 3.484]], "species": ["Se", "Cu", "Cu", "Cr"], "fractional_positions": [[0.250, 0.250, 0.250], [0.007, 0.007, 0.007], [0.493, 0.493, 0.493], [0.750, 0.750, 0.750]]}

Record 7
{"formula": "Cr2CuSe", "functional": "PBE", "state": "optimized geometry", "e_form_raw_ev_per_atom": 0.503, "energy_ev_per_atom": -6.204, "spacegroup": "No. 166", "dos_ef_per_ev_cell": 3.37, "lattice_angstrom": [[-7.916, 0.818, -0.691], [-7.631, -1.860, -1.452], [-7.798, -1.187, 1.259]], "species": ["Se", "Cu", "Cr", "Cr"], "fractional_positions": [[0.750, 0.750, 0.750], [0.250, 0.250, 0.250], [0.497, 0.497, 0.497], [0.003, 0.003, 0.003]]}

Record 8
{"formula": "CrCuSe", "functional": "PBE", "state": "optimized geometry", "relative_energy_mev_per_atom": 210, "e_form_raw_ev_per_atom": 0.207, "energy_ev_per_atom": -5.527, "spacegroup": "No. 107", "dos_ef_per_ev_cell": 1.63, "lattice_angstrom": [[-4.182, 1.521, -1.842], [-4.380, -1.718, -1.028], [-2.147, 0.748, 2.454]], "species": ["Cu", "Se", "Cr"], "fractional_positions": [[0.661, 0.661, 0.339], [0.351, 0.351, 0.649], [0.988, 0.988, 0.012]]}